Crystalline La2Ge4IrRh3 at its relaxed geometry, computed with PBEsol.

Results
The calculation puts the density of states at the Fermi level at 0.462 states/eV per atom. The space group is No. 115. The formation energy is -0.901 eV per atom. The value obtained for the final energy is -7.3693 eV per atom. For the magnetic moment, the calculation gives 0.000 μB per atom. The value obtained for the volume is 181.6 Å³ per cell.

POSCAR file:
```
La2Ge4IrRh3
1.0
4.148 0.000 0.000
0.000 4.148 0.000
0.000 0.000 10.553
La Ge Ir Rh
2 4 1 3
Direct
0.000 0.500 0.249
0.500 0.000 0.751
0.000 0.500 0.623
0.000 0.500 0.875
0.500 0.000 0.125
0.500 0.000 0.377
0.500 0.500 0.000
0.000 0.000 0.000
0.000 0.000 0.500
0.500 0.500 0.500
```

***

Crystalline Tl3Se2 at its relaxed geometry, computed with PBEsol.

Results
The calculation puts the density of states at the Fermi level at 0.500 states/eV per atom. Its uncorrected formation energy is -0.245 eV/atom. The space group is No. 164. The value obtained for the final energy is -3.3632 eV per atom. For the magnetic moment, the calculation gives 0.000 μB per atom. The value obtained for the volume is 147.3 Å³ per cell.

POSCAR file:
```
Tl3Se2
1.0
5.105 0.000 0.000
-2.553 4.421 0.000
0.000 0.000 6.528
Tl Se
3 2
Direct
0.000 0.000 0.000
0.333 0.667 0.309
0.667 0.333 0.691
0.333 0.667 0.773
0.667 0.333 0.227
```

***

Crystalline Sr2SbAs2 at its relaxed geometry, computed with PBEsol.

Results
The calculation puts the density of states at the Fermi level at 0.751 states/eV per atom. Its uncorrected formation energy is -0.823 eV/atom. The space group is No. 127. The value obtained for the final energy is -4.5127 eV per atom. For the magnetic moment, the calculation gives 0.000 μB per atom. The value obtained for the volume is 269.1 Å³ per cell.

POSCAR file:
```
Sr2SbAs2
1.0
7.836 0.000 0.000
0.000 7.836 0.000
0.000 0.000 4.382
Sr Sb As
4 2 4
Direct
0.162 0.338 0.000
0.338 0.838 0.000
0.662 0.162 0.000
0.838 0.662 0.000
0.000 0.000 0.500
0.500 0.500 0.500
0.145 0.645 0.500
0.355 0.145 0.500
0.645 0.855 0.500
0.855 0.355 0.500
```

***

Crystalline La2CoNiO6 at its relaxed geometry, computed with PBEsol.

Results
The calculation puts the density of states at the Fermi level at 0.748 states/eV per atom. Its uncorrected formation energy is -2.256 eV/atom. The space group is No. 148. The value obtained for the final energy is -7.8647 eV per atom. For the magnetic moment, the calculation gives 0.200 μB per atom. The value obtained for the volume is 109.5 Å³ per cell.

POSCAR file:
```
La2CoNiO6
1.0
2.711 1.565 4.301
-2.711 1.565 4.301
0.000 -3.131 4.301
La Co Ni O
2 1 1 6
Direct
0.250 0.250 0.250
0.750 0.750 0.750
0.000 0.000 0.000
0.500 0.500 0.500
0.192 0.753 0.304
0.247 0.696 0.808
0.304 0.192 0.753
0.696 0.808 0.247
0.753 0.304 0.192
0.808 0.247 0.696
```

***

Crystalline KLiYF5 at its relaxed geometry, computed with PBEsol.

Results
The calculation puts the density of states at the Fermi level at 0.000 states/eV per atom. Its uncorrected formation energy is -3.564 eV/atom. The space group is No. 14. The value obtained for the final energy is -6.0093 eV per atom. For the magnetic moment, the calculation gives 0.000 μB per atom. The value obtained for the volume is 866.8 Å³ per cell.

POSCAR file:
```
KLiYF5
1.0
6.349 0.000 0.000
0.000 23.641 0.000
-2.456 0.000 5.774
K Li Y F
8 8 8 40
Direct
0.160 0.201 0.463
0.160 0.299 0.963
0.258 0.049 0.544
0.258 0.451 0.044
0.742 0.549 0.956
0.742 0.951 0.456
0.840 0.701 0.037
0.840 0.799 0.537
0.221 0.502 0.554
0.221 0.998 0.054
0.348 0.749 0.960
0.348 0.751 0.460
0.652 0.249 0.540
0.652 0.251 0.040
0.779 0.002 0.946
0.779 0.498 0.446
0.104 0.626 0.681
0.104 0.874 0.181
0.468 0.626 0.316
0.468 0.874 0.816
0.532 0.126 0.184
0.532 0.374 0.684
0.896 0.126 0.819
0.896 0.374 0.319
0.018 0.532 0.692
0.018 0.968 0.192
0.080 0.713 0.781
0.080 0.787 0.281
0.120 0.612 0.047
0.120 0.888 0.547
0.165 0.123 0.174
0.165 0.377 0.674
0.255 0.677 0.467
0.255 0.823 0.967
0.262 0.132 0.829
0.262 0.368 0.329
0.321 0.573 0.535
0.321 0.927 0.035
0.457 0.637 0.950
0.457 0.863 0.450
0.468 0.037 0.249
0.468 0.463 0.749
0.490 0.222 0.230
0.490 0.278 0.730
0.510 0.722 0.270
0.510 0.778 0.770
0.532 0.537 0.251
0.532 0.963 0.751
0.543 0.137 0.550
0.543 0.363 0.050
0.679 0.073 0.965
0.679 0.427 0.465
0.738 0.632 0.671
0.738 0.868 0.171
0.745 0.177 0.033
0.745 0.323 0.533
0.835 0.623 0.326
0.835 0.877 0.826
0.880 0.112 0.453
0.880 0.388 0.953
0.920 0.213 0.719
0.920 0.287 0.219
0.982 0.032 0.808
0.982 0.468 0.308
```

***

Crystalline Zr2CuBr at its relaxed geometry, computed with PBEsol.

Results
The polymorph energy (0 for the lowest one) is 0.0 kJ/mol of atoms. The calculation puts the density of states at the Fermi level at 0.750 states/eV per atom. Its uncorrected formation energy is -0.182 eV/atom. The space group is No. 8. The value obtained for the final energy is -6.2779 eV per atom. For the magnetic moment, the calculation gives 0.000 μB per atom. The value obtained for the volume is 145.7 Å³ per cell.

POSCAR file:
```
Zr2CuBr
1.0
10.092 0.000 0.000
0.000 3.165 0.000
-0.009 0.000 4.562
Zr Cu Br
4 2 2
Direct
0.000 0.000 0.000
0.224 0.500 0.504
0.500 0.500 0.000
0.724 0.000 0.504
0.261 0.000 0.004
0.761 0.500 0.004
0.455 0.000 0.500
0.955 0.500 0.500
```

***

What is the formula in the first record? La2Ge4IrRh3